# 1
Computed, not measured: YTm2Al after structural relaxation at the PBE-GGA level of DFT.

Cell lengths 7.508, 7.508, 7.508 Å; angles 90.00, 90.00, 90.00 degrees
Positions (direct):
Y 0.000 0.000 0.000
Y 0.000 0.500 0.500
Y 0.500 0.000 0.500
Y 0.500 0.500 0.000
Tm 0.250 0.250 0.250
Tm 0.250 0.250 0.750
Tm 0.250 0.750 0.250
Tm 0.250 0.750 0.750
Tm 0.750 0.250 0.250
Tm 0.750 0.250 0.750
Tm 0.750 0.750 0.250
Tm 0.750 0.750 0.750
Al 0.000 0.000 0.500
Al 0.000 0.500 0.000
Al 0.500 0.000 0.000
Al 0.500 0.500 0.500

Properties
* total magnetic moment: 0.181 μB/f.u.
* energy of formation: -2 kJ per mole of atoms

***

# 2
Computed, not measured: CsCaN2F after structural relaxation at the PBE-GGA level of DFT.

Cell lengths 4.405, 4.405, 5.030 Å; angles 90.00, 90.00, 90.00 degrees
Positions (direct):
Cs 0.000 0.000 0.000
Ca 0.500 0.500 0.500
N 0.000 0.500 0.000
N 0.500 0.000 0.000
F 0.000 0.000 0.500

Properties
* total magnetic moment: 0.000 μB/f.u.
* energy relative to the elements, uncorrected: 0.7093 eV per atom

***

# 3
Computed, not measured: BeReB after structural relaxation at the PBE-GGA level of DFT.

Cell lengths 7.434, 7.434, 7.434 Å; angles 23.85, 23.85, 23.85 degrees
Positions (direct):
Be 0.189 0.189 0.189
Be 0.811 0.811 0.811
Re 0.070 0.070 0.070
Re 0.930 0.930 0.930
B 0.333 0.333 0.333
B 0.667 0.667 0.667

Properties
* total magnetic moment: 0.000 μB/f.u.
* energy of formation: -3 kJ per mole of atoms